First-principles (PBE+U) data for an optimized crystal structure of MnNiO2, as listed in Alexandria.

Calculated values
Total magnetization = 1.1738 μB per atom
Relative energy among the computed polymorphs = 1157 meV per atom

Cell lengths 3.7685, 3.7685, 3.7685 Å; angles 60.00, 60.00, 60.00 degrees
Site moments in Bohr magnetons follow the coordinates.
Element x y z (fractional)
O 0.2500 0.2500 0.2500  -0.04
O 0.7500 0.7500 0.7500  -0.04
Ni 0.5000 0.5000 0.5000  0.16
Mn 0.0000 0.0000 0.0000  4.49